1.
## MgCd5Pd8 (PBE)

Data for a relaxed MgCd5Pd8 crystal.

Geometry as POSCAR:
```
MgCd5Pd8
1.0
-3.951 3.951 4.031
3.951 -3.951 4.031
3.951 3.951 -4.031
Mg Cd Pd
1 5 8
Cartesian
0.000 0.000 0.000
2.977 2.204 -0.739
3.951 0.000 2.016
1.747 -0.975 4.770
0.975 1.747 3.292
2.204 4.926 0.739
1.332 -0.740 2.064
2.619 4.691 -1.967
0.547 2.608 0.670
3.212 2.619 1.967
-0.547 5.295 0.670
-1.343 3.404 3.361
0.740 1.332 5.998
1.343 4.499 3.361
```

Properties
- SG: I-4 (82)
- D(E_F): 0.243 states/eV/atom

***

2.
## MgCd2Pd (PBE)

Data for a relaxed MgCd2Pd crystal.

Geometry as POSCAR:
```
MgCd2Pd
1.0
3.518 0.000 0.000
0.000 3.518 0.000
0.000 0.000 6.161
Mg Cd Pd
1 2 1
Cartesian
0.000 0.000 0.000
1.759 1.759 1.630
1.759 1.759 4.531
0.000 0.000 3.080
```

Properties
- SG: P4/mmm (123)
- D(E_F): 0.512 states/eV/atom

***

3.
## Mg4Cd5Pd (PBE)

Data for a relaxed Mg4Cd5Pd crystal.

Geometry as POSCAR:
```
Mg4Cd5Pd
1.0
8.100 -1.613 0.000
8.100 1.613 0.000
-4.110 0.000 8.460
Mg Cd Pd
4 5 1
Cartesian
-0.877 0.000 2.390
5.041 0.000 0.907
7.050 0.000 7.553
12.967 0.000 6.070
0.166 0.000 5.108
2.047 0.000 1.581
8.100 0.000 0.000
10.043 0.000 6.879
11.925 0.000 3.352
6.045 0.000 4.230
```

Properties
- SG: C2/m (12)
- D(E_F): 0.515 states/eV/atom

***

4.
## MgCdPd4 (PBE)

Data for a relaxed MgCdPd4 crystal.

Geometry as POSCAR:
```
MgCdPd4
1.0
4.717 -1.457 0.000
4.717 1.457 0.000
-3.205 0.000 7.123
Mg Cd Pd
1 1 4
Cartesian
0.000 0.000 0.000
-1.603 0.000 3.561
0.986 0.000 4.801
2.646 0.000 1.148
3.583 0.000 5.975
5.243 0.000 2.322
```

Properties
- Polymorph energy (0 for the lowest one): 0 kJ/mol of formula units
- SG: C2/m (12)
- D(E_F): 0.421 states/eV/atom

***

5.
## Mg8Cd2Pd (PBE)

Data for a relaxed Mg8Cd2Pd crystal.

Geometry as POSCAR:
```
Mg8Cd2Pd
1.0
7.949 -2.412 0.000
7.949 2.412 0.000
-2.760 0.000 6.103
Mg Cd Pd
8 2 1
Cartesian
-0.652 0.000 1.585
0.945 0.000 4.232
4.020 0.000 3.762
5.641 0.000 0.586
7.497 0.000 5.517
9.118 0.000 2.341
12.193 0.000 1.871
13.791 0.000 4.518
2.415 0.000 1.102
10.724 0.000 5.001
6.569 0.000 3.051
```

Properties
- Polymorph energy (0 for the lowest one): 0 kJ/mol of formula units
- SG: C2/m (12)
- D(E_F): 0.225 states/eV/atom

***

6.
## MgCd14Pd (PBE)

Data for a relaxed MgCd14Pd crystal.

Geometry as POSCAR:
```
MgCd14Pd
1.0
10.437 0.000 0.000
0.000 3.068 5.335
0.000 -3.068 5.335
Mg Cd Pd
1 14 1
Cartesian
0.000 0.000 0.000
0.000 -1.499 2.632
0.000 1.499 2.632
2.470 -1.516 4.432
2.476 0.000 7.054
2.470 1.516 4.432
2.666 0.000 1.747
5.219 0.000 3.553
5.219 -1.516 6.188
5.219 1.516 6.188
5.219 0.000 8.864
7.771 0.000 1.747
7.968 -1.516 4.432
7.961 0.000 7.054
7.968 1.516 4.432
0.000 0.000 5.315
```

Properties
- SG: Amm2 (38)
- D(E_F): 0.182 states/eV/atom

***

Number 1: formation energy -0.282 eV/atom, density 9.48 g cm⁻³. Number 2: formation energy -0.275 eV/atom, density 7.74 g cm⁻³. Number 3: formation energy -0.114 eV/atom, density 5.75 g cm⁻³. Number 4: formation energy -0.415 eV/atom, density 9.54 g cm⁻³. Number 5: formation energy -0.189 eV/atom, density 3.73 g cm⁻³. Number 6: formation energy -0.070 eV/atom, density 8.28 g cm⁻³.